# 1
Material: Al3V8W
Method: DFT, GGA-PBE
State: relaxed

Fermi-level density of states ... 13.66 states/eV per cell
E ... -8.04 eV/atom
Crystal system ... trigonal

Unit cell a=4.974 b=4.974 c=8.064 alpha=90.00 beta=90.00 gamma=120.00
Sites, in units of the cell vectors:
1 Al 0.000 0.000 0.000
2 Al 0.000 0.000 0.380
3 Al 0.333 0.667 0.868
4 V 0.005 0.503 0.187
5 V 0.332 0.166 0.686
6 V 0.497 0.503 0.187
7 V 0.497 0.995 0.187
8 V 0.667 0.333 0.437
9 V 0.667 0.333 0.938
10 V 0.834 0.166 0.686
11 V 0.834 0.668 0.686
12 W 0.333 0.667 0.500

# 2
Material: AlV2W3
Method: DFT, GGA-PBE
State: relaxed

Fermi-level density of states ... 8.73 states/eV per cell
E ... -10.20 eV/atom
Crystal system ... monoclinic

Unit cell a=6.945 b=6.945 c=7.641 alpha=123.08 beta=123.08 gamma=37.08
Sites, in units of the cell vectors:
1 Al 0.127 0.127 0.131
2 Al 0.873 0.873 0.869
3 V 0.293 0.293 0.967
4 V 0.464 0.464 0.797
5 V 0.536 0.536 0.203
6 V 0.707 0.707 0.033
7 W 0.041 0.041 0.714
8 W 0.213 0.213 0.554
9 W 0.377 0.377 0.373
10 W 0.623 0.623 0.627
11 W 0.787 0.787 0.446
12 W 0.959 0.959 0.286

# 3
Material: Al3V4W
Method: DFT, GGA-PBE
State: relaxed

Fermi-level density of states ... 10.27 states/eV per cell
E ... -7.70 eV/atom
Crystal system ... orthorhombic

Unit cell a=8.884 b=5.610 c=4.654 alpha=90.00 beta=90.00 gamma=90.00
Sites, in units of the cell vectors:
1 Al 0.000 0.000 0.000
2 Al 0.250 0.000 0.357
3 Al 0.250 0.500 0.356
4 Al 0.500 0.000 0.000
5 Al 0.750 0.000 0.643
6 Al 0.750 0.500 0.644
7 V 0.000 0.245 0.500
8 V 0.000 0.755 0.500
9 V 0.250 0.256 0.855
10 V 0.250 0.744 0.855
11 V 0.500 0.245 0.500
12 V 0.500 0.755 0.500
13 V 0.750 0.256 0.145
14 V 0.750 0.744 0.145
15 W 0.000 0.500 0.000
16 W 0.500 0.500 0.000

# 4
Material: Al2V15W2
Method: DFT, GGA-PBE
State: relaxed

Fermi-level density of states ... 17.83 states/eV per cell
E ... -8.74 eV/atom
Crystal system ... trigonal

Unit cell a=6.630 b=6.630 c=6.630 alpha=80.59 beta=80.59 gamma=80.59
Sites, in units of the cell vectors:
1 Al 0.187 0.187 0.187
2 Al 0.813 0.813 0.813
3 V 0.000 0.500 0.500
4 V 0.129 0.129 0.662
5 V 0.129 0.662 0.129
6 V 0.205 0.500 0.795
7 V 0.205 0.795 0.500
8 V 0.338 0.871 0.871
9 V 0.500 0.000 0.500
10 V 0.500 0.205 0.795
11 V 0.500 0.500 0.000
12 V 0.500 0.795 0.205
13 V 0.662 0.129 0.129
14 V 0.795 0.205 0.500
15 V 0.795 0.500 0.205
16 V 0.871 0.338 0.871
17 V 0.871 0.871 0.338
18 W 0.401 0.401 0.401
19 W 0.599 0.599 0.599